[1]
The following is a PBE calculation of a relaxed Ac6NiRuAu2 crystal, from Alexandria.

## Properties
V = 359.3 Å³ per cell
Formation energy from the elements = -3.90 eV per formula unit
SG = R3
VASP energy = -50.16 eV per formula unit
Theoretical density = 8.855 g/cm³
Magnetization = 0.000 μB per atom

Cell: 7.8025 7.8003 8.1713 Å, 61.49 61.47 59.98°
Positions (direct):
Ac 0.5848 0.1973 0.2601
Ac 0.1974 0.9577 0.2600
Ac 0.9578 0.5847 0.2602
Ac 0.4511 0.6943 0.7637
Ac 0.6943 0.0914 0.7632
Ac 0.0914 0.4511 0.7634
Ni 0.8246 0.8247 0.5263
Ru 0.3215 0.3210 0.0360
Au 0.5196 0.5197 0.4411
Au 0.0193 0.0197 0.9414

[2]
The following is a PBE calculation of a relaxed Na2LaPbO4 crystal, from Alexandria.

## Properties
V = 269.4 Å³ per cell
SG = Cmcm
VASP energy = -43.91 eV per formula unit
Theoretical density = 5.623 g/cm³
Magnetization = 0.011 μB per atom
Raw formation energy = -1.601 eV/atom

Cell: 3.7221 6.7218 11.2044 Å, 90.00 90.00 106.07°
Site moments in Bohr magnetons follow the coordinates.
Positions (direct):
Na 0.4010 0.8020 0.5373  0.00
Na 0.5990 0.1980 0.0373  0.00
Na 0.5990 0.1980 0.4627  0.00
Na 0.4010 0.8020 0.9627  0.00
La 0.0740 0.1480 0.7500  0.00
La 0.9260 0.8520 0.2500  0.00
Pb 0.8048 0.6097 0.7500  0.00
Pb 0.1952 0.3903 0.2500  0.00
O 0.3310 0.6620 0.1368  0.01
O 0.6690 0.3380 0.6368  0.01
O 0.6690 0.3380 0.8632  0.01
O 0.3310 0.6620 0.3632  0.01
O 0.0000 0.0000 0.5000  0.05
O 0.0000 0.0000 0.0000  0.05
O 0.4153 0.8306 0.7500  0.01
O 0.5847 0.1694 0.2500  0.01